8
Lattice="4.910 0.000 0.000 0.000 5.443 0.000 0.000 0.000 7.000" Properties=species:S:1:pos:R:3 comment="PBE MnCuTe2, optimized geometry" e_tot_ev_per_atom=-4.933 sg="No. 38" vol_a3_per_fu=94 density_g_cm3=6.6 pbc="T T T"
Mn 0.000 0.000 0.000
Mn 0.000 2.721 3.500
Cu 2.455 0.000 5.519
Cu 2.455 2.721 2.019
Te 0.000 0.000 4.283
Te 0.000 2.721 0.783
Te 2.455 0.000 1.195
Te 2.455 2.721 4.695


5
Lattice="4.733 0.000 0.000 0.000 4.733 0.000 0.000 0.000 4.733" Properties=species:S:1:pos:R:3 comment="PBE ZrNbRe3, optimized geometry" polymorph_energy_ev_per_atom=0.0000 sg="No. 221" ef_mev_per_atom=1702.5 vol_a3_per_fu=106 density_g_cm3=11.6 pbc="T T T"
Zr 0.000 0.000 0.000
Nb 2.366 2.366 2.366
Re 0.000 2.366 2.366
Re 2.366 0.000 2.366
Re 2.366 2.366 0.000


10
Lattice="8.824 0.000 0.000 0.000 8.824 0.000 0.000 0.000 3.236" Properties=species:S:1:pos:R:3 comment="PBE Sn2Ge2Sb, optimized geometry" polymorph_energy_ev_per_atom=0.0771 sg="No. 127" vol_a3_per_fu=126 density_g_cm3=6.6 pbc="T T T"
Sn 1.639 2.774 0.000
Sn 2.774 7.186 0.000
Sn 6.051 1.639 0.000
Sn 7.186 6.051 0.000
Ge 0.961 5.373 1.618
Ge 3.451 0.961 1.618
Ge 5.373 7.863 1.618
Ge 7.863 3.451 1.618
Sb 0.000 0.000 0.000
Sb 4.412 4.412 0.000


16
Lattice="13.266 0.000 0.000 0.000 13.266 0.000 0.000 0.000 3.442" Properties=species:S:1:pos:R:3 comment="PBE CaY, optimized geometry" polymorph_energy_ev_per_atom=0.3330 sg="No. 87" ef_mev_per_atom=381.2 vol_a3_per_fu=76 density_g_cm3=2.8 pbc="T T T"
Ca 1.416 8.726 0.000
Ca 2.093 5.217 1.721
Ca 4.540 1.416 0.000
Ca 5.217 11.174 1.721
Ca 8.049 2.093 1.721
Ca 8.726 11.850 0.000
Ca 11.174 8.049 1.721
Ca 11.850 4.540 0.000
Y 1.095 2.081 0.000
Y 2.081 12.172 0.000
Y 4.553 7.728 1.721
Y 5.539 4.553 1.721
Y 7.728 8.714 1.721
Y 8.714 5.539 1.721
Y 11.186 1.095 0.000
Y 12.172 11.186 0.000


Number 2 is which compound?
ZrNbRe3